No. 1
The following is a PBE-GGA calculation of crystalline SmNp2As3 at its relaxed geometry, from the Alexandria database.

Unit cell a=13.746 b=13.107 c=7.162 alpha=79.52 beta=69.66 gamma=30.82
Element x y z (fractional)
1 Sm 0.042 0.042 0.208
2 Sm 0.208 0.208 0.042
3 Sm 0.792 0.792 0.958
4 Sm 0.958 0.958 0.792
5 Np 0.124 0.124 0.626
6 Np 0.291 0.291 0.459
7 Np 0.374 0.374 0.876
8 Np 0.459 0.459 0.291
9 Np 0.541 0.541 0.709
10 Np 0.626 0.626 0.124
11 Np 0.709 0.709 0.541
12 Np 0.876 0.876 0.374
13 As 0.043 0.543 0.214
14 As 0.132 0.618 0.618
15 As 0.214 0.701 0.043
16 As 0.299 0.786 0.457
17 As 0.382 0.868 0.868
18 As 0.457 0.957 0.299
19 As 0.543 0.043 0.701
20 As 0.618 0.132 0.132
21 As 0.701 0.214 0.543
22 As 0.786 0.299 0.957
23 As 0.868 0.382 0.382
24 As 0.957 0.457 0.786

=====

No. 2
The following is a PBE-GGA calculation of crystalline Sr2SmNpAs4 at its relaxed geometry, from the Alexandria database.

Unit cell a=7.391 b=4.300 c=7.539 alpha=90.00 beta=109.03 gamma=90.00
Element x y z (fractional)
1 Sr 0.000 0.000 0.000
2 Sr 0.500 0.500 0.000
3 Sm 0.000 0.500 0.500
4 Np 0.500 0.000 0.500
5 As 0.255 0.000 0.720
6 As 0.272 0.500 0.285
7 As 0.728 0.500 0.715
8 As 0.745 0.000 0.280

=====

No. 3
The following is a PBE-GGA calculation of crystalline SmTh2NpAs4 at its relaxed geometry, from the Alexandria database.

Unit cell a=7.274 b=4.225 c=7.311 alpha=90.00 beta=109.61 gamma=90.00
Element x y z (fractional)
1 Sm 0.000 0.000 0.000
2 Th 0.500 0.000 0.500
3 Th 0.500 0.500 0.000
4 Np 0.000 0.500 0.500
5 As 0.243 0.000 0.745
6 As 0.246 0.500 0.251
7 As 0.754 0.500 0.749
8 As 0.757 0.000 0.255

=====

No. 4
The following is a PBE-GGA calculation of crystalline SmThNp2As4 at its relaxed geometry, from the Alexandria database.

Unit cell a=7.223 b=4.180 c=7.233 alpha=90.00 beta=109.50 gamma=90.00
Element x y z (fractional)
1 Sm 0.000 0.000 0.000
2 Th 0.000 0.500 0.500
3 Np 0.500 0.000 0.500
4 Np 0.500 0.500 0.000
5 As 0.259 0.000 0.755
6 As 0.259 0.500 0.252
7 As 0.741 0.000 0.245
8 As 0.741 0.500 0.748

=====

No. 5
The following is a PBE-GGA calculation of crystalline SmTmNp2As4 at its relaxed geometry, from the Alexandria database.

Unit cell a=7.145 b=4.101 c=7.147 alpha=90.00 beta=109.27 gamma=90.00
Element x y z (fractional)
1 Sm 0.000 0.000 0.000
2 Tm 0.000 0.500 0.500
3 Np 0.500 0.000 0.500
4 Np 0.500 0.500 0.000
5 As 0.252 0.000 0.746
6 As 0.255 0.500 0.256
7 As 0.745 0.500 0.744
8 As 0.748 0.000 0.254

=====

No. 6
The following is a PBE-GGA calculation of crystalline Sm2TmNpAs4 at its relaxed geometry, from the Alexandria database.

Unit cell a=7.174 b=4.142 c=7.187 alpha=90.00 beta=109.30 gamma=90.00
Element x y z (fractional)
1 Sm 0.000 0.000 0.000
2 Sm 0.500 0.500 0.000
3 Tm 0.000 0.500 0.500
4 Np 0.500 0.000 0.500
5 As 0.247 0.000 0.740
6 As 0.253 0.500 0.259
7 As 0.747 0.500 0.741
8 As 0.753 0.000 0.260

=====

No. 7
The following is a PBE-GGA calculation of crystalline SmNpU2As4 at its relaxed geometry, from the Alexandria database.

Unit cell a=7.107 b=4.094 c=7.213 alpha=90.00 beta=109.12 gamma=90.00
Element x y z (fractional)
1 Sm 0.000 0.000 0.000
2 Np 0.500 0.500 0.000
3 U 0.000 0.500 0.500
4 U 0.500 0.000 0.500
5 As 0.252 0.000 0.747
6 As 0.255 0.500 0.257
7 As 0.745 0.500 0.743
8 As 0.748 0.000 0.253

=====

No. 8
The following is a PBE-GGA calculation of crystalline SmNp2UAs4 at its relaxed geometry, from the Alexandria database.

Unit cell a=7.136 b=4.115 c=7.148 alpha=90.00 beta=109.45 gamma=90.00
Element x y z (fractional)
1 Sm 0.000 0.000 0.000
2 Np 0.500 0.000 0.500
3 Np 0.500 0.500 0.000
4 U 0.000 0.500 0.500
5 As 0.251 0.000 0.747
6 As 0.254 0.500 0.257
7 As 0.746 0.500 0.743
8 As 0.749 0.000 0.253

=====

no.,VASP energy (eV for the cell shown),ρ (g/cm³),DFT formation energy (eV/atom)
1,-200.5,9.38,-0.93
2,-48.3,6.32,-1.08
3,-61.2,9.03,-1.26
4,-65.2,9.32,-1.08
5,-62.2,9.18,-1.06
6,-55.8,8.29,-1.30
7,-66.2,9.74,-0.91
8,-67.5,9.75,-0.88